# 1
Material: Pa2ZnSi4Ni3
Method: DFT, PBE
State: optimized geometry

V (A^3/atom): 15.44
Formation energy (no corrections) (eV per atom): -0.68
Calculated total energy (eV per atom): -6.607
Spin magnetization (Bohr magnetons per cell): 0.00

```
data_Pa2ZnSi4Ni3
_symmetry_space_group_name_H-M 'P 1'
_symmetry_Int_Tables_number 1
_cell_length_a 4.037
_cell_length_b 4.037
_cell_length_c 9.471
_cell_angle_alpha 90.00
_cell_angle_beta 90.00
_cell_angle_gamma 90.00
loop_
_symmetry_equiv_pos_as_xyz
'x,y,z'
loop_
_atom_site_label
_atom_site_fract_x
_atom_site_fract_y
_atom_site_fract_z
_atom_site_occupancy
Pa1 0.000 0.500 0.246 1
Pa2 0.500 0.000 0.754 1
Zn1 0.000 0.000 0.500 1
Si1 0.000 0.000 0.000 1
Si2 0.000 0.500 0.641 1
Si3 0.500 0.000 0.359 1
Si4 0.500 0.500 0.000 1
Ni1 0.000 0.500 0.881 1
Ni2 0.500 0.000 0.119 1
Ni3 0.500 0.500 0.500 1
```

# 2
Material: Cs2GaAuBr
Method: DFT, PBE
State: optimized geometry

V (A^3/atom): 46.94
Formation energy (no corrections) (eV per atom): -0.65
Calculated total energy (eV per atom): -2.590
Spin magnetization (Bohr magnetons per cell): 0.00

```
data_Cs2GaAuBr
_symmetry_space_group_name_H-M 'P 1'
_symmetry_Int_Tables_number 1
_cell_length_a 6.929
_cell_length_b 6.929
_cell_length_c 4.887
_cell_angle_alpha 90.00
_cell_angle_beta 90.00
_cell_angle_gamma 90.00
loop_
_symmetry_equiv_pos_as_xyz
'x,y,z'
loop_
_atom_site_label
_atom_site_fract_x
_atom_site_fract_y
_atom_site_fract_z
_atom_site_occupancy
Cs1 0.000 0.500 0.000 1
Cs2 0.500 0.000 0.000 1
Ga1 0.000 0.000 0.500 1
Au1 0.000 0.000 0.000 1
Br1 0.500 0.500 0.500 1
```

# 3
Material: Y15Tm4Sc
Method: DFT, PBE
State: optimized geometry

V (A^3/atom): 31.52
Calculated total energy (eV per atom): -6.027
Spin magnetization (Bohr magnetons per cell): 0.00
DFT formation energy (meV per atom): 32

```
data_Y15Tm4Sc
_symmetry_space_group_name_H-M 'P 1'
_symmetry_Int_Tables_number 1
_cell_length_a 5.016
_cell_length_b 5.016
_cell_length_c 25.055
_cell_angle_alpha 90.00
_cell_angle_beta 90.00
_cell_angle_gamma 90.00
loop_
_symmetry_equiv_pos_as_xyz
'x,y,z'
loop_
_atom_site_label
_atom_site_fract_x
_atom_site_fract_y
_atom_site_fract_z
_atom_site_occupancy
Y1 0.000 0.000 0.000 1
Y2 0.000 0.000 0.198 1
Y3 0.000 0.000 0.399 1
Y4 0.000 0.000 0.601 1
Y5 0.000 0.000 0.802 1
Y6 0.000 0.500 0.097 1
Y7 0.000 0.500 0.299 1
Y8 0.000 0.500 0.500 1
Y9 0.000 0.500 0.701 1
Y10 0.000 0.500 0.903 1
Y11 0.500 0.000 0.097 1
Y12 0.500 0.000 0.299 1
Y13 0.500 0.000 0.500 1
Y14 0.500 0.000 0.701 1
Y15 0.500 0.000 0.903 1
Tm1 0.500 0.500 0.198 1
Tm2 0.500 0.500 0.399 1
Tm3 0.500 0.500 0.601 1
Tm4 0.500 0.500 0.802 1
Sc1 0.500 0.500 0.000 1
```